Entry 1:
DFT (GGA-PBE) results for a relaxed structure of K3Zr2NpSe6.

Results
Energy relative to the elements, uncorrected = -1.30 eV per atom

a b c (Å): 6.9962 6.9962 8.1066
angles (deg): 98.30 98.30 120.05
Fractional positions:
K 0.0000 0.0000 0.0000
K 0.3363 0.6637 0.0000
K 0.6637 0.3363 0.0000
Zr 0.1674 0.8326 0.5000
Zr 0.8326 0.1674 0.5000
Np 0.5000 0.5000 0.5000
Se 0.0851 0.4314 0.2949
Se 0.2214 0.2214 0.7038
Se 0.4314 0.0851 0.2949
Se 0.5686 0.9149 0.7051
Se 0.7786 0.7786 0.2962
Se 0.9149 0.5686 0.7051

Entry 2:
DFT (GGA-PBE) results for a relaxed structure of CaTmGa.

Results
E_form = -0.18 eV per atom
Excess energy over the best structure of this formula in the dataset = 127 meV/atom

a b c (Å): 5.0284 5.0284 3.7379
angles (deg): 90.00 90.00 120.00
Fractional positions:
Ca 0.0000 0.0000 0.0000
Tm 0.6667 0.3333 0.4682
Ga 0.3333 0.6667 0.6557

Entry 3:
DFT (GGA-PBE) results for a relaxed structure of ReC2.

Results
E_form = 0.82 eV per atom
Excess energy over the best structure of this formula in the dataset = 379 meV/atom

a b c (Å): 5.5735 5.5735 3.8132
angles (deg): 94.76 94.76 27.89
Fractional positions:
Re 0.1169 0.1169 0.0189
Re 0.8831 0.8831 0.9811
C 0.2286 0.2286 0.5711
C 0.4937 0.4937 0.3089
C 0.5063 0.5063 0.6911
C 0.7714 0.7714 0.4289

Entry 4:
DFT (GGA-PBE) results for a relaxed structure of Np2ReSi6.

Results
Energy relative to the elements, uncorrected = -0.26 eV per atom

a b c (Å): 5.9344 5.9344 5.9344
angles (deg): 60.00 60.00 60.00
Fractional positions:
Np 0.2500 0.2500 0.2500
Np 0.7500 0.7500 0.7500
Re 0.0000 0.0000 0.0000
Si 0.2874 0.2874 0.7126
Si 0.2874 0.7126 0.2874
Si 0.2874 0.7126 0.7126
Si 0.7126 0.2874 0.2874
Si 0.7126 0.2874 0.7126
Si 0.7126 0.7126 0.2874

Entry 5:
DFT (GGA-PBE) results for a relaxed structure of LiMg2In5.

Results
E_form = -0.05 eV per atom
Excess energy over the best structure of this formula in the dataset = 38 meV/atom

a b c (Å): 8.5645 8.5645 8.5645
angles (deg): 126.56 126.56 78.97
Fractional positions:
Li 0.2500 0.2500 0.0000
Li 0.7500 0.7500 0.0000
Mg 0.1401 0.6401 0.7802
Mg 0.3599 0.1401 0.5000
Mg 0.6401 0.8599 0.5000
Mg 0.8599 0.3599 0.2198
In 0.0000 0.0000 0.0000
In 0.0090 0.8179 0.5000
In 0.1821 0.6821 0.1911
In 0.3179 0.5090 0.5000
In 0.4910 0.9910 0.8089
In 0.5000 0.5000 0.0000
In 0.5090 0.0090 0.1911
In 0.6821 0.4910 0.5000
In 0.8179 0.3179 0.8089
In 0.9910 0.1821 0.5000

Number 1: total energy -5.821 eV/atom. Number 2: total energy -3.349 eV/atom. Number 3: total energy -9.480 eV/atom. Number 4: total energy -8.137 eV/atom. Number 5: total energy -2.395 eV/atom.